1.
## LiAc2TcN4 (PBE-GGA)

Data for LiAc2TcN4 after structural relaxation.

Results
SG	Fddd (70)
N(E_F)	0.580	states/eV/atom

Cell lengths 4.6010, 6.1566, 9.6506 Å; angles 84.89, 76.21, 68.06 degrees
Fractional positions:
Li (0.7500, 0.5000, 0.5000)
Li (0.0000, 0.0000, 0.0000)
Ac (0.1737, 0.0000, 0.6526)
Ac (0.8263, 0.0000, 0.3474)
Ac (0.5763, 0.5000, 0.8474)
Ac (0.9237, 0.5000, 0.1526)
Tc (0.2500, 0.5000, 0.5000)
Tc (0.5000, 0.0000, 0.0000)
N (0.3149, 0.7814, 0.0957)
N (0.1919, 0.2186, 0.9043)
N (0.9037, 0.7814, 0.9043)
N (0.5895, 0.2186, 0.0957)
N (0.4351, 0.7186, 0.4043)
N (0.5581, 0.2814, 0.5957)
N (0.8463, 0.7186, 0.5957)
N (0.1605, 0.2814, 0.4043)



2.
## LiAcTc2N4 (PBE-GGA)

Data for LiAcTc2N4 after structural relaxation.

Results
SG	Immm (71)
N(E_F)	0.286	states/eV/atom

Cell lengths 5.5271, 5.2656, 5.2656 Å; angles 65.16, 58.34, 58.34 degrees
Fractional positions:
Li (0.5000, 0.5000, 0.5000)
Ac (0.0000, 0.0000, 0.0000)
Tc (0.2222, 0.2778, 0.2778)
Tc (0.7777, 0.7222, 0.7222)
N (0.5000, 0.0001, 0.5000)
N (0.0002, 0.9999, 0.5000)
N (0.9998, 0.5000, 0.0001)
N (0.5000, 0.5000, 0.9999)



3.
## LiAcTh2N4 (PBE-GGA)

Data for LiAcTh2N4 after structural relaxation.

Results
SG	Cmcm (63)

Cell lengths 3.6975, 6.2786, 11.9934 Å; angles 90.00, 90.00, 107.12 degrees
Fractional positions:
Li (0.8351, 0.6701, 0.7500)
Li (0.1649, 0.3299, 0.2500)
Ac (0.1017, 0.2033, 0.7500)
Ac (0.8983, 0.7967, 0.2500)
Th (0.3673, 0.7347, 0.5596)
Th (0.6327, 0.2653, 0.0596)
Th (0.6327, 0.2653, 0.4404)
Th (0.3673, 0.7347, 0.9404)
N (0.2588, 0.5176, 0.1111)
N (0.7412, 0.4824, 0.6111)
N (0.7412, 0.4824, 0.8889)
N (0.2588, 0.5176, 0.3889)
N (0.0000, 0.0000, 0.5000)
N (0.0000, 0.0000, 0.0000)
N (0.4465, 0.8931, 0.7500)
N (0.5535, 0.1069, 0.2500)



4.
## LiAc2TlN (PBE-GGA)

Data for LiAc2TlN after structural relaxation.

Results
SG	P2_1/m (11)
N(E_F)	0.874	states/eV/atom

Cell lengths 4.0402, 7.7413, 9.0473 Å; angles 109.44, 90.00, 90.00 degrees
Fractional positions:
Li (0.2500, 0.5794, 0.7178)
Li (0.7500, 0.4206, 0.2822)
Ac (0.7500, 0.8500, 0.6296)
Ac (0.7500, 0.7949, 0.0216)
Ac (0.2500, 0.1500, 0.3704)
Ac (0.2500, 0.2051, 0.9784)
Tl (0.2500, 0.6663, 0.2910)
Tl (0.7500, 0.3337, 0.7090)
N (0.2500, 0.8605, 0.8232)
N (0.7500, 0.1395, 0.1768)



5.
## LiAcUN3 (PBE-GGA)

Data for LiAcUN3 after structural relaxation.

Results
SG	P2_1/m (11)
N(E_F)	0.585	states/eV/atom

Cell lengths 3.5963, 7.3375, 7.2646 Å; angles 105.72, 90.00, 90.00 degrees
Each line ends with the local moment (μB).
Fractional positions:
Li (0.2500, 0.0734, 0.5893)  0.00
Li (0.7500, 0.9266, 0.4107)  0.00
Ac (0.2500, 0.1937, 0.2325)  0.02
Ac (0.7500, 0.8063, 0.7675)  0.02
U (0.2500, 0.6769, 0.1675)  0.70
U (0.7500, 0.3231, 0.8325)  0.70
N (0.7500, 0.8740, 0.1343)  -0.02
N (0.2500, 0.1260, 0.8657)  -0.02
N (0.2500, 0.7972, 0.4574)  -0.03
N (0.7500, 0.2028, 0.5426)  -0.03
N (0.7500, 0.4383, 0.1317)  -0.03
N (0.2500, 0.5617, 0.8683)  -0.03



6.
## LiAc2UN4 (PBE-GGA)

Data for LiAc2UN4 after structural relaxation.

Results
SG	P2/m (10)
N(E_F)	0.452	states/eV/atom

Cell lengths 3.7652, 6.0459, 6.2888 Å; angles 107.82, 90.00, 90.00 degrees
Fractional positions:
Li (0.0000, 0.0000, 0.0000)
Ac (0.5000, 0.0000, 0.5000)
Ac (0.0000, 0.5000, 0.5000)
U (0.5000, 0.5000, 0.0000)
N (0.5000, 0.3078, 0.2169)
N (0.5000, 0.6922, 0.7831)
N (0.0000, 0.2719, 0.7880)
N (0.0000, 0.7281, 0.2120)



7.
## LiAc4U3N8 (PBE-GGA)

Data for LiAc4U3N8 after structural relaxation.

Results
SG	R-3m (166)
N(E_F)	0.581	states/eV/atom

Cell lengths 7.1342, 7.3531, 7.1339 Å; angles 119.02, 120.00, 90.00 degrees
Each line ends with the local moment (μB).
Fractional positions:
Li (0.0000, 0.5000, 0.0000)  0.00
Ac (0.5000, 0.0000, 0.0000)  0.01
Ac (0.5000, 0.0000, 0.5000)  -0.01
Ac (0.0000, 0.0000, 0.0000)  -0.01
Ac (0.0000, 0.0000, 0.5000)  -0.01
U (0.5000, 0.5000, 0.0000)  0.43
U (0.5000, 0.5000, 0.5000)  0.42
U (0.0000, 0.5000, 0.5000)  0.42
N (0.2450, 0.6873, 0.9421)  -0.02
N (0.2451, 0.6873, 0.4902)  -0.02
N (0.2716, 0.3144, 0.5431)  -0.02
N (0.6971, 0.6873, 0.9421)  -0.02
N (0.3029, 0.3127, 0.0579)  -0.02
N (0.7284, 0.6856, 0.4569)  -0.02
N (0.7549, 0.3127, 0.5098)  -0.02
N (0.7550, 0.3127, 0.0579)  -0.02



8.
## LiAcU4N8 (PBE-GGA)

Data for LiAcU4N8 after structural relaxation.

Results
SG	R3m (160)
N(E_F)	0.913	states/eV/atom

Cell lengths 7.0268, 7.0268, 6.6781 Å; angles 58.26, 58.26, 60.00 degrees
Each line ends with the local moment (μB).
Fractional positions:
Li (0.0125, 0.0125, 0.9625)  0.00
Ac (0.3923, 0.3923, 0.8232)  0.03
U (0.6186, 0.6186, 0.1442)  2.00
U (0.0022, 0.4949, 0.5007)  0.65
U (0.4949, 0.0022, 0.5007)  0.65
U (0.0022, 0.0022, 0.5007)  0.65
N (0.2341, 0.8254, 0.7065)  -0.04
N (0.8254, 0.2341, 0.7065)  -0.04
N (0.2341, 0.2341, 0.7065)  -0.04
N (0.2333, 0.2333, 0.3000)  -0.03
N (0.7343, 0.2221, 0.3093)  -0.06
N (0.2221, 0.7343, 0.3093)  -0.06
N (0.7343, 0.7343, 0.3093)  -0.06
N (0.7597, 0.7597, 0.7208)  -0.06



no.,energy (eV for the cell shown)
1,-115.8
2,-62.8
3,-129.9
4,-47.4
5,-98.1
6,-62.2
7,-136.4
8,-134.3